RbN4: optimized geometry, PBE.

Unit cell a=4.552 b=6.183 c=8.063 alpha=90.00 beta=96.37 gamma=90.00
Space group P2_1/c (No. 14)
Asymmetric unit:
1 Rb 0.000 0.000 0.000 (multiplicity 2)
2 N 0.407 0.229 0.789 (multiplicity 4)
3 N 0.410 0.739 0.294 (multiplicity 4)

E_form (uncorrected)	-0.11	eV/atom
N(E_F)	6.47	states/eV/cell
total moment	0.0396	μB/atom
excess energy over the best structure of this formula in the dataset	0.0	meV per atom